Model A:
AcCeSb2 (GGA-PBE, relaxed); symmetry = R3m; volume = 144.5 Å³/cell; Fermi-level density of states = 1.6094 states/eV/atom; ρ = 7.019 g cm⁻³
1.0
2.2923 1.3234 7.9364
-2.2923 1.3234 7.9364
0.0000 -2.6469 7.9364
Ac Ce Sb
1 1 2
direct
0.0000 0.0000 0.0000
0.1714 0.1714 0.1714
0.5795 0.5795 0.5795
0.7589 0.7589 0.7589



Model B:
AcCeSb2 (GGA-PBE, relaxed); symmetry = Fm-3m; volume = 126.2 Å³/cell; Fermi-level density of states = 1.7166 states/eV/atom; ρ = 8.033 g cm⁻³
1.0
0.0000 3.9814 3.9814
3.9814 0.0000 3.9814
3.9814 3.9814 0.0000
Ac Ce Sb
1 1 2
direct
0.0000 0.0000 0.0000
0.5000 0.5000 0.5000
0.2500 0.2500 0.2500
0.7500 0.7500 0.7500



What should be chosen as the most stable of them? Choose model A.



Model A:
Ac3CeSb4 (GGA-PBE, relaxed); symmetry = Pm-3m; volume = 301.3 Å³/cell; Fermi-level density of states = 1.0063 states/eV/atom; ρ = 7.209 g cm⁻³
1.0
6.7040 0.0000 0.0000
0.0000 6.7040 0.0000
0.0000 0.0000 6.7040
Ac Ce Sb
3 1 4
direct
0.0000 0.0000 0.5000
0.0000 0.5000 0.0000
0.5000 0.0000 0.0000
0.5000 0.5000 0.5000
0.0000 0.0000 0.0000
0.0000 0.5000 0.5000
0.5000 0.0000 0.5000
0.5000 0.5000 0.0000



Model B:
Ac3CeSb4 (GGA-PBE, relaxed); symmetry = Cmmm; volume = 300.0 Å³/cell; Fermi-level density of states = 0.8189 states/eV/atom; ρ = 7.242 g cm⁻³
1.0
4.7335 -6.6918 0.0000
4.7335 6.6918 0.0000
0.0000 0.0000 4.7348
Ac Ce Sb
3 1 4
direct
0.0000 0.0000 0.0000
0.0000 0.5000 0.5000
0.5000 0.0000 0.5000
0.5000 0.5000 0.0000
0.2561 0.7439 0.0000
0.2614 0.2614 0.5000
0.7386 0.7386 0.5000
0.7439 0.2561 0.0000



What should be chosen as the most stable of them? Choose model B.



Model A:
AcCeSbSe (GGA-PBE, relaxed); symmetry = P4/nmm; volume = 278.6 Å³/cell; Fermi-level density of states = 1.4819 states/eV/atom; ρ = 6.768 g cm⁻³
1.0
5.0762 0.0000 0.0000
0.0000 5.0762 0.0000
0.0000 0.0000 10.8132
Ac Ce Sb Se
2 2 2 2
direct
0.2500 0.2500 0.1522
0.7500 0.7500 0.8478
0.2500 0.7500 0.5000
0.7500 0.2500 0.5000
0.2500 0.2500 0.6835
0.7500 0.7500 0.3165
0.2500 0.7500 0.0000
0.7500 0.2500 0.0000



Model B:
AcCeSbSe (GGA-PBE, relaxed); symmetry = F-43m; volume = 117.5 Å³/cell; Fermi-level density of states = 1.8505 states/eV/atom; ρ = 8.027 g cm⁻³
1.0
0.0000 3.8871 3.8871
3.8871 0.0000 3.8871
3.8871 3.8871 0.0000
Ac Ce Sb Se
1 1 1 1
direct
0.0000 0.0000 0.0000
0.5000 0.5000 0.5000
0.7500 0.7500 0.7500
0.2500 0.2500 0.2500



What should be chosen as the most stable of them? Choose model B.



Model A:
AcCeSc (GGA-PBE, relaxed); symmetry = Cmcm; volume = 196.3 Å³/cell; Fermi-level density of states = 2.1269 states/eV/atom; ρ = 6.973 g cm⁻³
1.0
2.7971 -8.3670 0.0000
2.7971 8.3670 0.0000
0.0000 0.0000 4.1931
Ac Ce Sc
2 2 2
direct
0.2278 0.7722 0.7500
0.7722 0.2278 0.2500
0.0505 0.9495 0.2500
0.9495 0.0505 0.7500
0.4218 0.5782 0.2500
0.5782 0.4218 0.7500



Model B:
AcCeSc (GGA-PBE, relaxed); symmetry = P3m1; volume = 97.0 Å³/cell; Fermi-level density of states = 2.4554 states/eV/atom; ρ = 7.054 g cm⁻³
1.0
3.6123 0.0000 0.0000
-1.8062 3.1284 0.0000
0.0000 0.0000 8.5838
Ac Ce Sc
1 1 1
direct
0.0000 0.0000 0.0000
0.3333 0.6667 0.6468
0.6667 0.3333 0.3396



What should be chosen as the most stable of them? Choose model A.